A plane-wave DFT calculation with GGA-PBE was carried out for LiPS2N after structural relaxation.

a = 4.4907 Å, b = 4.4907 Å, c = 3.4386 Å
α = 90.00°, β = 90.00°, γ = 90.00°
Sites, in units of the cell vectors:
1 P 0.5000 0.5000 0.5000
2 S 0.0000 0.5000 0.0000
3 S 0.5000 0.0000 0.0000
4 Li 0.0000 0.0000 0.0000
5 N 0.0000 0.0000 0.5000

Properties
* energy above the most stable polymorph in this dataset: 1.0888 eV/atom
* uncorrected formation energy: 1.2701 eV per atom
* SG: P4/mmm (123)